1.
# CaBeIn2Pd

A geometry-optimized CaBeIn2Pd structure (GGA-PBE, Alexandria via LeMat-Bulk).

Properties
Space-group type: No. 123
Formation enthalpy at 0 K, meV per atom: -144
Uncorrected energy, eV/atom: -3.423
Volume, Å³/cell: 106.4

Cell: 4.822 4.575 4.822 Å, 90.00 90.00 90.00°
Positions (direct):
Be 0.000 0.000 0.000
Ca 0.500 0.500 0.500
Pd 0.000 0.500 0.000
In 0.000 0.000 0.500
In 0.500 0.000 0.000

---

2.
# Ca2BeInPd6

A geometry-optimized Ca2BeInPd6 structure (GGA-PBE, Alexandria via LeMat-Bulk).

Properties
Space-group type: No. 12
Formation enthalpy at 0 K, meV per atom: -515
Uncorrected energy, eV/atom: -4.678
Volume, Å³/cell: 202.8

Cell: 5.981 7.392 7.436 Å, 47.59 65.85 89.70°
Positions (direct):
Ca 0.757 0.242 0.490
Ca 0.243 0.758 0.510
Be 0.000 0.000 0.000
In 0.500 0.500 0.000
Pd 0.237 0.296 0.531
Pd 0.703 0.762 0.065
Pd 0.236 0.763 0.070
Pd 0.764 0.237 0.930
Pd 0.297 0.238 0.935
Pd 0.763 0.704 0.469

---

3.
# CaTaBeIn2

A geometry-optimized CaTaBeIn2 structure (GGA-PBE, Alexandria via LeMat-Bulk).

Properties
Space-group type: No. 123
Formation enthalpy at 0 K, meV per atom: 423
Uncorrected energy, eV/atom: -4.189
Volume, Å³/cell: 109.0

Cell: 4.810 4.710 4.810 Å, 90.00 90.00 90.00°
Positions (direct):
Be 0.000 0.000 0.000
Ca 0.500 0.500 0.500
In 0.000 0.000 0.500
In 0.500 0.000 0.000
Ta 0.000 0.500 0.000

---

Number 2 is which compound?
Ca2BeInPd6

---

What did the first record say?
# CaBeIn2Pd

A geometry-optimized CaBeIn2Pd structure (GGA-PBE, Alexandria via LeMat-Bulk).

Properties
Space-group type: No. 123
Formation enthalpy at 0 K, meV per atom: -144
Uncorrected energy, eV/atom: -3.423
Volume, Å³/cell: 106.4

Cell: 4.822 4.575 4.822 Å, 90.00 90.00 90.00°
Positions (direct):
Be 0.000 0.000 0.000
Ca 0.500 0.500 0.500
Pd 0.000 0.500 0.000
In 0.000 0.000 0.500
In 0.500 0.000 0.000

---

Copy entry 3 word for word.
# CaTaBeIn2

A geometry-optimized CaTaBeIn2 structure (GGA-PBE, Alexandria via LeMat-Bulk).

Properties
Space-group type: No. 123
Formation enthalpy at 0 K, meV per atom: 423
Uncorrected energy, eV/atom: -4.189
Volume, Å³/cell: 109.0

Cell: 4.810 4.710 4.810 Å, 90.00 90.00 90.00°
Positions (direct):
Be 0.000 0.000 0.000
Ca 0.500 0.500 0.500
In 0.000 0.000 0.500
In 0.500 0.000 0.000
Ta 0.000 0.500 0.000

---

What is the formation enthalpy at 0 K in the first record?
-144 meV per atom